1.
Al2FeRu, relaxed, DFT PBE-GGA; energy of formation from the pure elements = -0.50 eV/atom; space group = P4/mmm; magnetization = 1.52 μB per cell
1.0
-2.103 -3.217 -1.627
3.587 -1.678 -1.317
0.258 -1.472 2.577
Al Fe Ru
2 1 1
direct
0.000 0.000 0.000 Al
0.500 0.500 0.000 Al
0.500 0.000 0.500 Fe
0.000 0.500 0.500 Ru

***

2.
Al2Fe2Ru, relaxed, DFT PBE-GGA; energy of formation from the pure elements = -0.08 eV/atom; space group = P4/mbm; magnetization = 8.56 μB per cell
1.0
-4.087 3.466 3.927
-5.237 -2.796 -2.982
0.044 -2.200 1.987
Fe Ru Al
4 2 4
direct
0.161 0.661 0.500 Fe
0.339 0.161 0.500 Fe
0.661 0.839 0.500 Fe
0.839 0.339 0.500 Fe
0.000 0.000 0.000 Ru
0.500 0.500 0.000 Ru
0.361 0.861 0.000 Al
0.639 0.139 0.000 Al
0.861 0.639 0.000 Al
0.139 0.361 0.000 Al

***

3.
Al3FeRu4, relaxed, DFT PBE-GGA; energy of formation from the pure elements = -0.47 eV/atom; space group = P4/mmm; magnetization = 2.89 μB per cell
1.0
2.997 0.000 0.000
0.000 2.997 0.000
0.000 0.000 11.997
Ru Fe Al
4 1 3
direct
0.000 0.000 0.879 Ru
0.000 0.000 0.626 Ru
0.000 0.000 0.374 Ru
0.000 0.000 0.121 Ru
0.500 0.500 0.000 Fe
0.500 0.500 0.500 Al
0.500 0.500 0.748 Al
0.500 0.500 0.252 Al

***

Number 1: total energy -27.2 eV for the cell shown, mass density 6.75 g cm⁻³. Number 2: total energy -68.2 eV for the cell shown, mass density 6.77 g cm⁻³. Number 3: total energy -60.5 eV for the cell shown, mass density 8.34 g cm⁻³.